Crystalline KSrCuHg2 at its relaxed geometry, computed with PBE-GGA.

Cell: 5.9447 5.9447 5.5197 Å, 90.00 90.00 90.00°
Space group P4/mmm (No. 123)
Unique sites:
K: 0.0000 0.0000 0.0000 (multiplicity 1)
Sr: 0.5000 0.5000 0.5000 (multiplicity 1)
Cu: 0.0000 0.0000 0.5000 (multiplicity 1)
Hg: 0.0000 0.5000 0.0000 (multiplicity 2)

Properties
Crystal system: tetragonal
Formation energy in eV/f.u.: 1.75
Fermi-level density of states in states/eV/cell: 2.4